# 1
! TaBr5, optimized geometry, DFT GGA-PBE; values from VASP
! electronic total energy	-19.88	eV per formula unit
! size of the total moment	0.0000	μB/atom
! space group	P4/mmm (123)
! DOS at the Fermi energy	3.545	states/eV/f.u.
! density	5.647	g cm⁻³
&SYSTEM
  ibrav = 0, nat = 6, ntyp = 2
/
ATOMIC_SPECIES
Br 79.90 Br.upf
Ta 180.95 Ta.upf
ATOMIC_POSITIONS angstrom
Br -5.673 0.400 6.713
Br -1.069 0.075 1.265
Br -4.696 -0.058 2.172
Br -10.277 0.725 12.162
Br -10.003 0.316 8.452
Ta -1.677 -0.271 -1.401
CELL_PARAMETERS angstrom
-1.820 1.912 -1.652
-1.534 -2.454 -1.150
-11.345 0.800 13.426

=====

# 2
! Ta4Br, optimized geometry, DFT GGA-PBE; values from VASP
! electronic total energy	-41.76	eV per formula unit
! size of the total moment	0.0000	μB/atom
! space group	Im-3m (229)
! DOS at the Fermi energy	3.672	states/eV/f.u.
! density	12.866	g cm⁻³
&SYSTEM
  ibrav = 0, nat = 5, ntyp = 2
/
ATOMIC_SPECIES
Ta 180.95 Ta.upf
Br 79.90 Br.upf
ATOMIC_POSITIONS angstrom
Ta 2.435 -0.482 0.641
Ta 0.673 1.484 1.979
Ta -1.525 -0.499 1.999
Ta -0.237 2.465 -0.661
Br 0.000 0.000 0.000
CELL_PARAMETERS angstrom
4.869 -0.965 1.282
-0.474 4.930 -1.322
-3.050 -0.998 3.998

=====

# 3
! Ta4Br, optimized geometry, DFT GGA-PBE; values from VASP
! electronic total energy	-41.71	eV per formula unit
! size of the total moment	0.0001	μB/atom
! space group	Pm-3m (221)
! DOS at the Fermi energy	5.980	states/eV/f.u.
! density	13.008	g cm⁻³
&SYSTEM
  ibrav = 0, nat = 5, ntyp = 2
/
ATOMIC_SPECIES
Ta 180.95 Ta.upf
Br 79.90 Br.upf
ATOMIC_POSITIONS angstrom
Ta 2.341 2.341 0.000
Ta 0.000 0.000 0.000
Ta 0.000 2.341 2.341
Ta 2.341 0.000 2.341
Br 2.341 2.341 2.341
CELL_PARAMETERS angstrom
4.681 0.000 0.000
0.000 4.681 0.000
0.000 0.000 4.681

=====

# 4
! TaBr2, optimized geometry, DFT GGA-PBE; values from VASP
! electronic total energy	-16.61	eV per formula unit
! size of the total moment	0.0000	μB/atom
! space group	Pnma (62)
! DOS at the Fermi energy	1.454	states/eV/f.u.
! density	5.599	g cm⁻³
&SYSTEM
  ibrav = 0, nat = 12, ntyp = 2
/
ATOMIC_SPECIES
Br 79.90 Br.upf
Ta 180.95 Ta.upf
ATOMIC_POSITIONS angstrom
Br 0.801 2.032 6.598
Br 2.403 5.337 3.624
Br 2.403 7.747 6.305
Br 0.801 9.331 10.076
Br 2.403 0.448 2.827
Br 0.801 4.442 9.279
Br 2.403 2.857 0.147
Br 0.801 6.922 12.757
Ta 2.403 8.883 12.095
Ta 2.403 3.993 7.261
Ta 0.801 0.896 0.809
Ta 0.801 5.786 5.643
CELL_PARAMETERS angstrom
3.204 0.000 0.000
0.000 9.779 0.000
0.000 0.000 12.904

=====

# 5
! TaBr2, optimized geometry, DFT GGA-PBE; values from VASP
! electronic total energy	-11.68	eV per formula unit
! size of the total moment	0.6057	μB/atom
! space group	P6/mmm (191)
! DOS at the Fermi energy	2.615	states/eV/f.u.
! density	8.133	g cm⁻³
&SYSTEM
  ibrav = 0, nat = 3, ntyp = 2
/
ATOMIC_SPECIES
Ta 180.95 Ta.upf
Br 79.90 Br.upf
ATOMIC_POSITIONS angstrom
Ta 0.000 0.000 1.564
Br 2.534 -1.463 0.000
Br 2.534 1.463 0.000
CELL_PARAMETERS angstrom
2.534 -4.389 0.000
2.534 4.389 0.000
0.000 0.000 3.127

=====

# 6
! TaBr4, optimized geometry, DFT GGA-PBE; values from VASP
! electronic total energy	-18.38	eV per formula unit
! size of the total moment	0.2116	μB/atom
! space group	Im-3m (229)
! DOS at the Fermi energy	4.838	states/eV/f.u.
! density	5.996	g cm⁻³
&SYSTEM
  ibrav = 0, nat = 5, ntyp = 2
/
ATOMIC_SPECIES
Br 79.90 Br.upf
Ta 180.95 Ta.upf
ATOMIC_POSITIONS angstrom
Br -1.630 1.630 1.630
Br 1.630 1.630 -1.630
Br 1.630 -1.630 1.630
Br 1.630 1.630 1.630
Ta 0.000 0.000 0.000
CELL_PARAMETERS angstrom
-3.260 3.260 3.260
3.260 -3.260 3.260
3.260 3.260 -3.260